[1]
ErZnCu, relaxed, DFT PBE-GGA; ΔE_f = -0.3349 eV/atom; total energy = -3.6459 eV/atom
1.0
-4.364 -0.094 0.126
0.223 -6.932 2.548
0.135 2.375 6.450
Er Zn Cu
4 4 4
Direct
0.250 0.799 0.487 Er
0.750 0.299 0.013 Er
0.250 0.701 0.987 Er
0.750 0.201 0.513 Er
0.750 0.920 0.184 Zn
0.750 0.580 0.684 Zn
0.250 0.080 0.816 Zn
0.250 0.420 0.316 Zn
0.750 0.590 0.292 Cu
0.750 0.910 0.792 Cu
0.250 0.090 0.208 Cu
0.250 0.410 0.708 Cu

---

[2]
Cs2LaTe2S6, relaxed, DFT PBE-GGA; ΔE_f (raw) = -0.77 eV/atom; total energy = -4.2007 eV/atom
1.0
-3.961 -5.605 3.344
5.663 -1.290 -4.170
2.870 2.968 8.374
Cs La Te S
2 1 2 6
Direct
0.699 0.398 0.145 Cs
0.301 0.602 0.855 Cs
0.500 0.000 0.500 La
0.928 0.856 0.770 Te
0.072 0.144 0.230 Te
0.750 0.501 0.540 S
0.236 0.925 0.233 S
0.312 0.075 0.767 S
0.764 0.075 0.767 S
0.688 0.925 0.233 S
0.250 0.499 0.460 S

---

[3]
Ce5Er3Bi8, relaxed, DFT PBE-GGA; ΔE_f = -0.7955 eV/atom; total energy = -5.4458 eV/atom
1.0
-2.766 5.917 -6.323
-8.764 2.366 -0.487
-2.591 8.364 2.426
Ce Er Bi
5 3 8
Direct
0.500 0.000 0.000 Ce
0.500 0.500 0.000 Ce
0.000 0.000 0.000 Ce
0.000 0.500 0.000 Ce
0.500 0.500 0.500 Ce
0.500 0.000 0.500 Er
0.000 0.000 0.500 Er
0.000 0.500 0.500 Er
0.250 0.250 0.744 Bi
0.250 0.756 0.744 Bi
0.756 0.250 0.744 Bi
0.753 0.753 0.741 Bi
0.750 0.750 0.256 Bi
0.750 0.244 0.256 Bi
0.244 0.750 0.256 Bi
0.247 0.247 0.259 Bi

---

[4]
LaPmPr6Dy2, relaxed, DFT PBE-GGA; ΔE_f = 0.1090 eV/atom; total energy = -4.6469 eV/atom
1.0
9.395 -2.181 -2.263
0.840 8.769 -2.036
0.840 -2.360 8.688
La Pm Pr Dy
2 2 12 4
Direct
0.250 0.406 0.594 La
0.750 0.594 0.406 La
0.250 0.970 0.030 Pm
0.750 0.030 0.970 Pm
0.056 0.110 0.758 Pr
0.444 0.242 0.890 Pr
0.944 0.890 0.242 Pr
0.556 0.758 0.110 Pr
0.318 0.983 0.433 Pr
0.182 0.567 0.017 Pr
0.682 0.017 0.567 Pr
0.818 0.433 0.983 Pr
0.121 0.704 0.490 Pr
0.379 0.510 0.296 Pr
0.879 0.296 0.510 Pr
0.621 0.490 0.704 Pr
0.453 0.805 0.709 Dy
0.047 0.291 0.195 Dy
0.547 0.195 0.291 Dy
0.953 0.709 0.805 Dy

---

[5]
Lu4In2B, relaxed, DFT PBE-GGA; ΔE_f = -0.2352 eV/atom; total energy = -4.5549 eV/atom
1.0
4.908 0.000 0.000
0.000 4.908 0.000
-2.454 -2.454 7.521
B Lu In
1 4 2
Direct
0.000 0.000 0.000 B
0.833 0.833 0.667 Lu
0.167 0.167 0.333 Lu
0.000 0.500 0.000 Lu
0.500 0.000 0.000 Lu
0.630 0.630 0.261 In
0.370 0.370 0.739 In

---

[6]
TeWBr2, relaxed, DFT PBE-GGA; relative energy among the computed polymorphs = 0.232 eV per atom; ΔE_f (raw) = 0.18 eV/atom; total energy = -4.6827 eV/atom
1.0
3.565 0.000 0.007
1.784 3.087 0.007
1.755 1.013 8.865
Te Br W
1 2 1
Direct
0.514 0.514 0.458 Te
0.980 0.980 0.059 Br
0.758 0.758 0.729 Br
0.249 0.249 0.253 W

---

no.,volume (Å³ per atom)
1,18.485
2,35.928
3,33.175
4,35.570
5,25.885
6,24.379